(1)
{"formula": "UNbI", "functional": "PBE", "state": "optimized geometry", "formation_energy_uncorrected_mev_per_atom": 39, "magmom_total_mub_per_cell": 11.4, "e_tot_ev_per_atom": -7.60, "cell": [[4.971, 0.000, 0.000], [0.000, 4.984, 0.000], [-0.104, 0.000, 13.235]], "species": ["U", "U", "U", "U", "Nb", "Nb", "Nb", "Nb", "I", "I", "I", "I"], "frac_coords": [[0.245, 0.000, 0.302], [0.255, 0.500, 0.698], [0.745, 0.500, 0.302], [0.755, 0.000, 0.698], [0.249, 0.500, 0.448], [0.251, 0.000, 0.552], [0.749, 0.000, 0.448], [0.751, 0.500, 0.552], [0.242, 0.500, 0.144], [0.258, 0.000, 0.856], [0.742, 0.000, 0.144], [0.758, 0.500, 0.856]]}

***

(2)
{"formula": "Nb2V2I", "functional": "PBE", "state": "optimized geometry", "formation_energy_uncorrected_mev_per_atom": 670, "magmom_total_mub_per_cell": 0.0, "polymorph_energy_mev_per_atom": 73.8, "e_tot_ev_per_atom": -7.32, "cell": [[7.493, 0.000, 0.000], [0.000, 7.493, 0.000], [0.000, 0.000, 3.503]], "species": ["Nb", "Nb", "Nb", "Nb", "V", "V", "V", "V", "I", "I"], "frac_coords": [[0.163, 0.337, 0.000], [0.337, 0.837, 0.000], [0.663, 0.163, 0.000], [0.837, 0.663, 0.000], [0.104, 0.604, 0.500], [0.396, 0.104, 0.500], [0.604, 0.896, 0.500], [0.896, 0.396, 0.500], [0.000, 0.000, 0.000], [0.500, 0.500, 0.000]]}